# 1
Material: TaCdCu2
Method: DFT, PBE
State: optimized geometry

Properties
- Energy of formation from the pure elements: 0.1678 eV per atom
- DFT total energy: -5.07 eV/atom

Cell: 2.849 2.849 27.598 Å, 90.00 90.00 120.00°
Fractional coordinates of all 12 atoms:
1 Ta 0.000 0.000 0.000
2 Ta 0.333 0.667 0.667
3 Ta 0.667 0.333 0.333
4 Cd 0.000 0.000 0.500
5 Cd 0.333 0.667 0.167
6 Cd 0.667 0.333 0.833
7 Cu 0.000 0.000 0.253
8 Cu 0.000 0.000 0.747
9 Cu 0.333 0.667 0.414
10 Cu 0.333 0.667 0.919
11 Cu 0.667 0.333 0.081
12 Cu 0.667 0.333 0.586



# 2
Material: CsZrTe2
Method: DFT, PBE
State: optimized geometry

Properties
- ΔE_f (raw): -0.743 eV/atom
- DFT total energy: -4.66 eV/atom

Cell: 8.629 8.629 10.068 Å, 90.00 90.00 90.00°
Fractional coordinates of all 16 atoms:
1 Cs 0.000 0.000 0.000
2 Cs 0.000 0.500 0.250
3 Cs 0.500 0.000 0.750
4 Cs 0.500 0.500 0.500
5 Zr 0.000 0.000 0.500
6 Zr 0.000 0.500 0.750
7 Zr 0.500 0.000 0.250
8 Zr 0.500 0.500 0.000
9 Te 0.149 0.250 0.625
10 Te 0.250 0.649 0.875
11 Te 0.250 0.851 0.375
12 Te 0.351 0.250 0.125
13 Te 0.649 0.750 0.125
14 Te 0.750 0.149 0.375
15 Te 0.750 0.351 0.875
16 Te 0.851 0.750 0.625



Among the records above, which one has the lowest DFT total energy? TaCdCu2



Which of these has the lowest DFT total energy? TaCdCu2



Repeat the second record exactly.
Material: CsZrTe2
Method: DFT, PBE
State: optimized geometry

Properties
- ΔE_f (raw): -0.743 eV/atom
- DFT total energy: -4.66 eV/atom

Cell: 8.629 8.629 10.068 Å, 90.00 90.00 90.00°
Fractional coordinates of all 16 atoms:
1 Cs 0.000 0.000 0.000
2 Cs 0.000 0.500 0.250
3 Cs 0.500 0.000 0.750
4 Cs 0.500 0.500 0.500
5 Zr 0.000 0.000 0.500
6 Zr 0.000 0.500 0.750
7 Zr 0.500 0.000 0.250
8 Zr 0.500 0.500 0.000
9 Te 0.149 0.250 0.625
10 Te 0.250 0.649 0.875
11 Te 0.250 0.851 0.375
12 Te 0.351 0.250 0.125
13 Te 0.649 0.750 0.125
14 Te 0.750 0.149 0.375
15 Te 0.750 0.351 0.875
16 Te 0.851 0.750 0.625